Record 1
Material: TbCeTlBi
Method: DFT, GGA-PBE
State: relaxed

## Properties
SG ... F-43m

abc: 5.497 5.497 5.497
angles: 60.00 60.00 60.00
Atoms (fractional coordinates):
Tb1 0.000 0.000 0.000
Ce1 0.500 0.500 0.500
Tl1 0.250 0.250 0.250
Bi1 0.750 0.750 0.750

Record 2
Material: TbCe2Tm3Bi6
Method: DFT, GGA-PBE
State: relaxed

## Properties
SG ... C2/m

abc: 10.052 10.052 8.991
angles: 102.76 102.76 25.92
Atoms (fractional coordinates):
Tb1 0.000 0.000 0.000
Ce1 0.334 0.334 0.668
Ce2 0.666 0.666 0.332
Tm1 0.000 0.000 0.500
Tm2 0.333 0.333 0.166
Tm3 0.667 0.667 0.834
Bi1 0.165 0.165 0.589
Bi2 0.167 0.167 0.077
Bi3 0.497 0.497 0.252
Bi4 0.503 0.503 0.748
Bi5 0.833 0.833 0.923
Bi6 0.835 0.835 0.411

Record 3
Material: Tb2CeTmBi4
Method: DFT, GGA-PBE
State: relaxed

## Properties
SG ... P2/m

abc: 7.796 4.510 7.807
angles: 90.00 109.46 90.00
Atoms (fractional coordinates):
Tb1 0.000 0.000 0.000
Tb2 0.500 0.500 0.000
Ce1 0.000 0.500 0.500
Tm1 0.500 0.000 0.500
Bi1 0.255 0.000 0.752
Bi2 0.255 0.500 0.251
Bi3 0.745 0.000 0.248
Bi4 0.745 0.500 0.749

Record 4
Material: Tb3Ce2TmBi6
Method: DFT, GGA-PBE
State: relaxed

## Properties
SG ... C2/m

abc: 10.103 10.103 9.037
angles: 102.96 102.96 25.88
Atoms (fractional coordinates):
Tb1 0.000 0.000 0.000
Tb2 0.332 0.332 0.666
Tb3 0.668 0.668 0.334
Ce1 0.335 0.335 0.169
Ce2 0.665 0.665 0.831
Tm1 0.000 0.000 0.500
Bi1 0.165 0.165 0.578
Bi2 0.166 0.166 0.086
Bi3 0.498 0.498 0.746
Bi4 0.502 0.502 0.254
Bi5 0.834 0.834 0.914
Bi6 0.835 0.835 0.422

| no. | DFT total energy (eV/atom) | mass density (kg/m³) |
| --- | --- | --- |
| 1 | -4.605 | 10073 |
| 2 | -5.234 | 9443 |
| 3 | -5.229 | 9385 |
| 4 | -5.293 | 9237 |